The following is a DFT calculation (GGA-PBE) of a geometry-optimized LiSi2Tc structure.

abc: 2.908 4.770 5.059
angles: 50.50 90.00 90.00
Element x y z (fractional)
Si1 0.500 0.500 0.000
Si2 0.000 0.000 0.000
Tc1 0.500 0.500 0.500
Li1 0.000 0.000 0.500

Values from the calculation:
Its space-group type is No. 10. For the total magnetic moment, the calculation gives 0.000 μB/atom. For the formation energy without anion corrections, the calculation gives -44.0 meV/atom. The calculation puts the volume at 13.5 Å³ per atom. As for the energy: -5.825 eV per atom.